Entry 1:
Below is a geometry-optimized RbCuPtO2 structure, with properties calculated at the PBE level.

CIF file:
```
data_RbCuPtO2
_chemical_formula_sum 'Rb4 Cu4 Pt4 O8'
_space_group_name_H-M_alt 'C m m e'
_space_group_IT_number 67
_space_group_name_Hall '-C 2a 2'
_cell_length_a 6.691
_cell_length_b 12.723
_cell_length_c 4.165
_cell_angle_alpha 90.00
_cell_angle_beta 90.00
_cell_angle_gamma 90.00
loop_
_atom_site_label
_atom_site_fract_x
_atom_site_fract_y
_atom_site_fract_z
Rb1 0.000 0.250 0.145
Cu1 0.000 0.000 0.000
Pt1 0.250 0.000 0.500
O1 0.000 0.095 0.607
```

Results
Its raw formation energy is -0.53 eV per atom. The total DFT energy (no corrections) is -4.731 eV/atom.



Entry 2:
Below is a geometry-optimized Rb2CuPtO4 structure, with properties calculated at the PBE level.

CIF file:
```
data_Rb2CuPtO4
_chemical_formula_sum 'Rb16 Cu8 Pt8 O32'
_space_group_name_H-M_alt 'F d d d'
_space_group_IT_number 70
_cell_length_a 5.834
_cell_length_b 13.704
_cell_length_c 19.946
_cell_angle_alpha 90.00
_cell_angle_beta 90.00
_cell_angle_gamma 90.00
loop_
_space_group_symop_operation_xyz
'x,y,z'
'-x,-y,-z'
'-x+1/4,-y+1/4,z'
'x+1/4,y+1/4,-z'
'x,-y+1/4,-z+1/4'
'-x,y+1/4,z+1/4'
'-x+1/4,y,-z+1/4'
'x+1/4,-y,z+1/4'
'x,y+1/2,z+1/2'
'-x,-y+1/2,-z+1/2'
'-x+1/4,-y+3/4,z+1/2'
'x+1/4,y+3/4,-z+1/2'
'x,-y+3/4,-z+3/4'
'-x,y+3/4,z+3/4'
'-x+1/4,y+1/2,-z+3/4'
'x+1/4,-y+1/2,z+3/4'
'x+1/2,y,z+1/2'
'-x+1/2,-y,-z+1/2'
'-x+3/4,-y+1/4,z+1/2'
'x+3/4,y+1/4,-z+1/2'
'x+1/2,-y+1/4,-z+3/4'
'-x+1/2,y+1/4,z+3/4'
'-x+3/4,y,-z+3/4'
'x+3/4,-y,z+3/4'
'x+1/2,y+1/2,z'
'-x+1/2,-y+1/2,-z'
'-x+3/4,-y+3/4,z'
'x+3/4,y+3/4,-z'
'x+1/2,-y+3/4,-z+1/4'
'-x+1/2,y+3/4,z+1/4'
'-x+3/4,y+1/2,-z+1/4'
'x+3/4,-y+1/2,z+1/4'
loop_
_atom_site_label
_atom_site_fract_x
_atom_site_fract_y
_atom_site_fract_z
Rb1 0.125 0.125 0.297
Cu1 0.125 0.125 0.625
Pt1 0.125 0.125 0.125
O1 0.106 0.284 0.874
```

Results
Its raw formation energy is -0.85 eV per atom. The total DFT energy (no corrections) is -4.840 eV/atom.



Entry 3:
Below is a geometry-optimized Rb2Cu2PtO6 structure, with properties calculated at the PBE level.

CIF file:
```
data_Rb2Cu2PtO6
_chemical_formula_sum 'Rb6 Cu6 Pt3 O18'
_space_group_name_H-M_alt 'R -3 m'
_space_group_IT_number 166
_space_group_name_Hall '-R 3 2"'
_cell_length_a 5.8284
_cell_length_b 5.8284
_cell_length_c 18.1440
_cell_angle_alpha 90.00
_cell_angle_beta 90.00
_cell_angle_gamma 120.00
loop_
_atom_site_label
_atom_site_fract_x
_atom_site_fract_y
_atom_site_fract_z
Rb1 0.0000 0.0000 0.2092
Cu1 0.0000 0.0000 0.3904
Pt1 0.0000 0.0000 0.0000
O1 0.0232 0.5116 0.7355
```

Results
Its raw formation energy is -0.75 eV per atom. The total DFT energy (no corrections) is -4.926 eV/atom.



Entry 4:
Below is a geometry-optimized Cu2PtRhO8 structure, with properties calculated at the PBE level.

CIF file:
```
data_Cu2PtRhO8
_chemical_formula_sum 'Cu4 Pt2 Rh2 O16'
_space_group_name_H-M_alt 'I -4 m 2'
_space_group_IT_number 119
_space_group_name_Hall 'I -4 -2'
_cell_length_a 6.234
_cell_length_b 6.234
_cell_length_c 6.852
_cell_angle_alpha 90.00
_cell_angle_beta 90.00
_cell_angle_gamma 90.00
loop_
_atom_site_label
_atom_site_fract_x
_atom_site_fract_y
_atom_site_fract_z
Cu1 0.000 0.000 0.000
Cu2 0.000 0.500 0.250
Pt1 0.000 0.500 0.750
Rh1 0.000 0.000 0.500
O1 0.000 0.184 0.781
O2 0.000 0.311 0.462
```

Results
Its raw formation energy is -0.10 eV per atom. The total DFT energy (no corrections) is -5.202 eV/atom.



Entry 5:
Below is a geometry-optimized CuRuPtO6 structure, with properties calculated at the PBE level.

CIF file:
```
data_CuRuPtO6
_chemical_formula_sum 'Cu2 Ru2 Pt2 O12'
_space_group_name_H-M_alt 'P -3 1 c'
_space_group_IT_number 163
_space_group_name_Hall '-P 3 2c'
_cell_length_a 5.1317
_cell_length_b 5.1317
_cell_length_c 8.7441
_cell_angle_alpha 90.00
_cell_angle_beta 90.00
_cell_angle_gamma 120.00
loop_
_atom_site_label
_atom_site_fract_x
_atom_site_fract_y
_atom_site_fract_z
Cu1 0.0000 0.0000 0.0000
Ru1 0.3333 0.6667 0.2500
Pt1 0.3333 0.6667 0.7500
O1 0.0086 0.3588 0.1260
```

Results
Its raw formation energy is -0.53 eV per atom. The total DFT energy (no corrections) is -5.992 eV/atom.



Entry 6:
Below is a geometry-optimized CuPtSO2 structure, with properties calculated at the PBE level.

CIF file:
```
data_CuPtSO2
_chemical_formula_sum 'Cu1 Pt1 S1 O2'
_space_group_name_H-M_alt 'P 4/m m m'
_space_group_IT_number 123
_space_group_name_Hall '-P 4 2'
_cell_length_a 3.599
_cell_length_b 3.599
_cell_length_c 4.805
_cell_angle_alpha 90.00
_cell_angle_beta 90.00
_cell_angle_gamma 90.00
loop_
_atom_site_label
_atom_site_fract_x
_atom_site_fract_y
_atom_site_fract_z
Cu1 0.000 0.000 0.000
Pt1 0.500 0.500 0.000
S1 0.500 0.500 0.500
O1 0.000 0.500 0.500
```

Results
Its raw formation energy is 0.32 eV per atom. The total DFT energy (no corrections) is -4.512 eV/atom.



Entry 7:
Below is a geometry-optimized CuPtSO2 structure, with properties calculated at the PBE level.

CIF file:
```
data_CuPtSO2
_chemical_formula_sum 'Cu1 Pt1 S1 O2'
_space_group_name_H-M_alt 'P 4/m m m'
_space_group_IT_number 123
_space_group_name_Hall '-P 4 2'
_cell_length_a 3.514
_cell_length_b 3.514
_cell_length_c 6.642
_cell_angle_alpha 90.00
_cell_angle_beta 90.00
_cell_angle_gamma 90.00
loop_
_atom_site_label
_atom_site_fract_x
_atom_site_fract_y
_atom_site_fract_z
Cu1 0.000 0.000 0.000
Pt1 0.000 0.000 0.500
S1 0.500 0.500 0.500
O1 0.000 0.500 0.000
```

Results
Its raw formation energy is 0.34 eV per atom. The total DFT energy (no corrections) is -4.494 eV/atom.



Entry 8:
Below is a geometry-optimized CuPtSO structure, with properties calculated at the PBE level.

CIF file:
```
data_CuPtSO
_chemical_formula_sum 'Cu2 Pt2 S2 O2'
_space_group_name_H-M_alt 'P 4/n m m'
_space_group_IT_number 129
_cell_length_a 4.048
_cell_length_b 4.048
_cell_length_c 7.463
_cell_angle_alpha 90.00
_cell_angle_beta 90.00
_cell_angle_gamma 90.00
loop_
_space_group_symop_operation_xyz
'x,y,z'
'-x,-y,-z'
'-y+1/2,x,z'
'y+1/2,-x,-z'
'-x+1/2,-y+1/2,z'
'x+1/2,y+1/2,-z'
'y,-x+1/2,z'
'-y,x+1/2,-z'
'x+1/2,-y,-z'
'-x+1/2,y,z'
'-y,-x,-z'
'y,x,z'
'-x,y+1/2,-z'
'x,-y+1/2,z'
'y+1/2,x+1/2,-z'
'-y+1/2,-x+1/2,z'
loop_
_atom_site_label
_atom_site_fract_x
_atom_site_fract_y
_atom_site_fract_z
Cu1 0.250 0.750 0.000
Pt1 0.250 0.250 0.430
S1 0.250 0.250 0.849
O1 0.250 0.750 0.500
```

Results
Its raw formation energy is 0.16 eV per atom. The total DFT energy (no corrections) is -4.645 eV/atom.



Entry 9:
Below is a geometry-optimized CuPt2SeO structure, with properties calculated at the PBE level.

CIF file:
```
data_CuPt2SeO
_chemical_formula_sum 'Cu1 Pt2 Se1 O1'
_space_group_name_H-M_alt 'P 4/m m m'
_space_group_IT_number 123
_space_group_name_Hall '-P 4 2'
_cell_length_a 4.689
_cell_length_b 4.689
_cell_length_c 4.454
_cell_angle_alpha 90.00
_cell_angle_beta 90.00
_cell_angle_gamma 90.00
loop_
_atom_site_label
_atom_site_fract_x
_atom_site_fract_y
_atom_site_fract_z
Cu1 0.000 0.000 0.000
Pt1 0.000 0.500 0.500
Se1 0.000 0.000 0.500
O1 0.500 0.500 0.000
```

Results
Its raw formation energy is 1.09 eV per atom. The total DFT energy (no corrections) is -3.831 eV/atom.



Entry 10:
Below is a geometry-optimized Cu2SiPtO structure, with properties calculated at the PBE level.

CIF file:
```
data_Cu2SiPtO
_chemical_formula_sum 'Cu2 Si1 Pt1 O1'
_space_group_name_H-M_alt 'P 4/m m m'
_space_group_IT_number 123
_space_group_name_Hall '-P 4 2'
_cell_length_a 4.882
_cell_length_b 4.882
_cell_length_c 3.659
_cell_angle_alpha 90.00
_cell_angle_beta 90.00
_cell_angle_gamma 90.00
loop_
_atom_site_label
_atom_site_fract_x
_atom_site_fract_y
_atom_site_fract_z
Cu1 0.000 0.500 0.000
Si1 0.000 0.000 0.500
Pt1 0.500 0.500 0.000
O1 0.500 0.500 0.500
```

Results
Its raw formation energy is 0.63 eV per atom. The total DFT energy (no corrections) is -4.293 eV/atom.



no.,spin magnetization (μB/f.u.)
1,0.00
2,0.99
3,3.31
4,0.15
5,0.90
6,0.00
7,1.92
8,0.00
9,0.00
10,0.00